No. 1
Here is Nd4Y4Er after structural relaxation from the Alexandria database. Energies are from PBE-GGA.

Cell and atoms, written as POSCAR:
```
Nd4Y4Er
1.0
-5.4239 5.4239 2.5543
5.4239 -5.4239 2.5543
5.4239 5.4239 -2.5543
Nd Y Er
4 4 1
Direct
0.0000 0.3317 0.3317
0.0000 0.6683 0.6683
0.3317 0.0000 0.3317
0.6683 0.0000 0.6683
0.3346 0.3346 0.6692
0.3346 0.6654 0.0000
0.6654 0.3346 0.0000
0.6654 0.6654 0.3308
0.0000 0.0000 0.0000
```

Output
- Fermi-level density of states: 1.588 states/eV/atom
- Total magnetic moment: 0.00 μB/cell
- E_form: 0.020 eV per atom
- Calculated volume: 300.6 Å³ per cell



No. 2
Here is LaSiNi after structural relaxation from the Alexandria database. Energies are from PBE-GGA.

Cell and atoms, written as POSCAR:
```
LaSiNi
1.0
6.3393 0.0000 0.0000
0.0000 6.3393 0.0000
0.0000 0.0000 6.3393
La Si Ni
4 4 4
Direct
0.0000 0.0000 0.0000
0.0000 0.5000 0.5000
0.5000 0.0000 0.5000
0.5000 0.5000 0.0000
0.0000 0.0000 0.5000
0.0000 0.5000 0.0000
0.5000 0.0000 0.0000
0.5000 0.5000 0.5000
0.2500 0.2500 0.2500
0.2500 0.7500 0.7500
0.7500 0.2500 0.7500
0.7500 0.7500 0.2500
```

Output
- Fermi-level density of states: 2.136 states/eV/atom
- Total magnetic moment: 0.00 μB/cell
- Energy: -17.350 eV per formula unit
- Calculated volume: 254.8 Å³ per cell